Run A
Below is a relaxed structure of RbBaAu, with properties calculated at the GGA-PBE level.

Cell lengths 5.755, 5.755, 5.755 Å; angles 60.00, 60.00, 60.00 degrees
Atoms (fractional coordinates):
Au 0.250 0.250 0.250
Ba 0.000 0.000 0.000
Rb 0.500 0.500 0.500

Output
- Calculated volume: 134.8 Å³/cell

=====

Run B
Below is a relaxed structure of RbBaAu, with properties calculated at the GGA-PBE level.

Cell lengths 4.220, 4.220, 8.507 Å; angles 104.36, 104.36, 90.00 degrees
Atoms (fractional coordinates):
Au 0.685 0.685 0.370
Ba 0.282 0.282 0.565
Rb 0.033 0.033 0.065

Output
- Calculated volume: 141.9 Å³/cell

=====

Most stable to least stable: run B, run A

=====

Run A
Below is a relaxed structure of RbBaAu3, with properties calculated at the GGA-PBE level.

Cell lengths 4.934, 4.399, 15.054 Å; angles 98.40, 90.00, 90.00 degrees
Atoms (fractional coordinates):
Rb 0.250 0.794 0.589
Rb 0.750 0.206 0.411
Ba 0.250 0.071 0.142
Ba 0.750 0.929 0.858
Au 0.250 0.384 0.769
Au 0.750 0.616 0.231
Au 0.250 0.478 0.957
Au 0.750 0.522 0.043
Au 0.750 0.337 0.673
Au 0.250 0.663 0.327

Output
- Calculated volume: 323.2 Å³/cell

=====

Run B
Below is a relaxed structure of RbBaAu3, with properties calculated at the GGA-PBE level.

Cell lengths 6.269, 6.269, 6.269 Å; angles 90.00, 90.00, 90.00 degrees
Atoms (fractional coordinates):
Au 0.000 0.500 0.000
Au 0.000 0.000 0.500
Au 0.500 0.000 0.000
Ba 0.000 0.000 0.000
Rb 0.500 0.500 0.500

Output
- Calculated volume: 246.3 Å³/cell

=====

Most stable to least stable: run A, run B